! GGA-PBE Ca2CoMo, optimized geometry; values from VASP
&SYSTEM
  ibrav = 0, nat = 8, ntyp = 3
/
ATOMIC_SPECIES
Ca 40.08 Ca.upf
Co 58.93 Co.upf
Mo 95.94 Mo.upf
ATOMIC_POSITIONS crystal
Ca 0.000 0.000 0.000
Ca 0.000 0.500 0.250
Ca 0.500 0.000 0.750
Ca 0.500 0.500 0.500
Co 0.000 0.500 0.750
Co 0.500 0.000 0.250
Mo 0.000 0.000 0.500
Mo 0.500 0.500 0.000
CELL_PARAMETERS angstrom
4.822 0.000 0.000
0.000 4.822 0.000
0.000 0.000 6.811
! distance to the lowest polymorph of the same formula = 2.071 eV/f.u.
! E_form = 0.86 eV/atom
! calculated density = 4.929 g/cm³

***

! GGA-PBE CaCo2Mo2, optimized geometry; values from VASP
&SYSTEM
  ibrav = 0, nat = 10, ntyp = 3
/
ATOMIC_SPECIES
Ca 40.08 Ca.upf
Co 58.93 Co.upf
Mo 95.94 Mo.upf
ATOMIC_POSITIONS crystal
Ca 0.000 0.000 0.000
Ca 0.500 0.500 0.000
Co 0.169 0.331 0.500
Co 0.331 0.831 0.500
Co 0.669 0.169 0.500
Co 0.831 0.669 0.500
Mo 0.122 0.622 0.000
Mo 0.378 0.122 0.000
Mo 0.622 0.878 0.000
Mo 0.878 0.378 0.000
CELL_PARAMETERS angstrom
7.661 0.000 0.000
0.000 7.661 0.000
0.000 0.000 2.643
! distance to the lowest polymorph of the same formula = 0.000 eV/f.u.
! E_form = 0.27 eV/atom
! calculated density = 7.491 g/cm³

***

! GGA-PBE CaCo2Mo2, optimized geometry; values from VASP
&SYSTEM
  ibrav = 0, nat = 10, ntyp = 3
/
ATOMIC_SPECIES
Ca 40.08 Ca.upf
Co 58.93 Co.upf
Mo 95.94 Mo.upf
ATOMIC_POSITIONS crystal
Ca 0.000 0.000 0.000
Ca 0.500 0.500 0.000
Co 0.123 0.377 0.000
Co 0.377 0.877 0.000
Co 0.623 0.123 0.000
Co 0.877 0.623 0.000
Mo 0.162 0.662 0.500
Mo 0.338 0.162 0.500
Mo 0.662 0.838 0.500
Mo 0.838 0.338 0.500
CELL_PARAMETERS angstrom
7.532 0.000 0.000
0.000 7.532 0.000
0.000 0.000 2.730
! distance to the lowest polymorph of the same formula = 0.480 eV/f.u.
! E_form = 0.37 eV/atom
! calculated density = 7.500 g/cm³

***

! GGA-PBE Ca2CoMo, optimized geometry; values from VASP
&SYSTEM
  ibrav = 0, nat = 16, ntyp = 3
/
ATOMIC_SPECIES
Ca 40.08 Ca.upf
Co 58.93 Co.upf
Mo 95.94 Mo.upf
ATOMIC_POSITIONS crystal
Ca 0.250 0.250 0.250
Ca 0.250 0.250 0.750
Ca 0.250 0.750 0.250
Ca 0.250 0.750 0.750
Ca 0.750 0.250 0.250
Ca 0.750 0.250 0.750
Ca 0.750 0.750 0.250
Ca 0.750 0.750 0.750
Co 0.000 0.000 0.000
Co 0.000 0.500 0.500
Co 0.500 0.000 0.500
Co 0.500 0.500 0.000
Mo 0.000 0.000 0.500
Mo 0.000 0.500 0.000
Mo 0.500 0.000 0.000
Mo 0.500 0.500 0.500
CELL_PARAMETERS angstrom
6.976 0.000 0.000
0.000 6.976 0.000
0.000 0.000 6.976
! distance to the lowest polymorph of the same formula = 3.158 eV/f.u.
! E_form = 1.13 eV/atom
! calculated density = 4.598 g/cm³

***

! GGA-PBE CaCoMo, optimized geometry; values from VASP
&SYSTEM
  ibrav = 0, nat = 12, ntyp = 3
/
ATOMIC_SPECIES
Ca 40.08 Ca.upf
Co 58.93 Co.upf
Mo 95.94 Mo.upf
ATOMIC_POSITIONS crystal
Ca 0.000 0.182 0.000
Ca 0.000 0.818 0.000
Ca 0.500 0.318 0.000
Ca 0.500 0.682 0.000
Co 0.000 0.382 0.500
Co 0.000 0.618 0.500
Co 0.500 0.118 0.500
Co 0.500 0.882 0.500
Mo 0.244 0.000 0.758
Mo 0.256 0.500 0.242
Mo 0.744 0.500 0.758
Mo 0.756 0.000 0.242
CELL_PARAMETERS angstrom
5.149 0.000 0.000
0.000 14.857 0.000
-0.554 0.000 2.830
! distance to the lowest polymorph of the same formula = 0.600 eV/f.u.
! E_form = 0.36 eV/atom
! calculated density = 5.980 g/cm³

***

! GGA-PBE CaCo3Mo, optimized geometry; values from VASP
&SYSTEM
  ibrav = 0, nat = 5, ntyp = 3
/
ATOMIC_SPECIES
Ca 40.08 Ca.upf
Co 58.93 Co.upf
Mo 95.94 Mo.upf
ATOMIC_POSITIONS crystal
Ca 0.000 0.000 0.000
Co 0.000 0.500 0.500
Co 0.500 0.000 0.500
Co 0.500 0.500 0.000
Mo 0.500 0.500 0.500
CELL_PARAMETERS angstrom
4.514 0.000 0.000
0.000 4.514 0.000
0.000 0.000 4.514
! distance to the lowest polymorph of the same formula = 0.000 eV/f.u.
! E_form = 0.82 eV/atom
! calculated density = 5.646 g/cm³

***

Number 3 is which compound? CaCo2Mo2

***

Look up the distance to the lowest polymorph of the same formula of the third one. 0.480 eV/f.u.